A relaxed structure of Ba2ZrSe, computed with PBE.

The structure belongs to space group P4mm (No. 99); the cell edges are 3.7985, 3.7985 and 9.8164 Å and the angles 90.00°, 90.00° and 90.00°. Symmetry generates all atoms from Ba at (0.0000, 0.0000, 0.0000), Ba at (0.5000, 0.5000, 0.3809), Zr at (0.5000, 0.5000, 0.7339) and Se at (0.0000, 0.0000, 0.6497).

The uncorrected formation energy comes out at -1.70 eV/f.u.

A relaxed structure of Er5CuPd4, computed with PBE.

The structure belongs to space group P4/mmm (No. 123); the cell edges are 3.4622, 3.4622 and 17.4853 Å and the angles 90.00°, 90.00° and 90.00°. Symmetry generates all atoms from Er at (0.0000, 0.0000, 0.0000), Er at (0.0000, 0.0000, 0.2008), Er at (0.0000, 0.0000, 0.4014), Cu at (0.5000, 0.5000, 0.5000), Pd at (0.5000, 0.5000, 0.1005) and Pd at (0.5000, 0.5000, 0.3016).

The energy of formation from the pure elements is -789 meV per atom.

Q: Which calculated total energy values were calculated for the entries above? A: -17.58; -55.57, in eV per formula unit.